No. 1
8
Lattice="-3.428 2.630 -1.013 -2.395 -1.877 3.230 0.148 6.642 7.019" Properties=species:S:1:pos:R:3 comment="CaTi2S | Alexandria | GGA-PBE | relaxed" magnetic_moment_mub_per_cell=0.00 final_energy_ev_per_atom=-5.622 crystal_system=tetragonal spacegroup="No. 141" pbc="T T T"
Ti -1.548 2.412 1.779
Ti -4.385 6.109 6.396
Ti -2.671 4.794 6.903
Ti -2.746 1.473 3.393
S -2.912 0.376 1.108
S -2.579 2.570 5.679
Ca 0.000 0.000 0.000
Ca -3.096 4.824 3.557

No. 2
16
Lattice="4.151 0.000 0.000 0.000 6.205 0.000 0.000 0.000 14.719" Properties=species:S:1:pos:R:3 comment="CaTi2S5 | Alexandria | GGA-PBE | relaxed" magnetic_moment_mub_per_cell=0.00 final_energy_ev_per_atom=-6.177 crystal_system=orthorhombic spacegroup="No. 59" pbc="T T T"
Ti 2.076 3.531 5.131
Ti 0.000 2.674 2.229
Ti 2.076 3.531 9.588
Ti 0.000 2.674 12.491
S 0.000 3.565 0.000
S 0.000 0.562 1.724
S 2.076 2.640 7.360
S 0.000 2.402 9.995
S 2.076 3.803 2.635
S 0.000 2.402 4.725
S 0.000 0.562 12.995
S 2.076 5.644 9.084
S 2.076 3.803 12.085
S 2.076 5.644 5.636
Ca 2.076 5.636 0.000
Ca 0.000 0.569 7.360

No. 3
29
Lattice="3.996 -2.048 5.514 4.614 4.591 2.863 -9.135 4.307 8.656" Properties=species:S:1:pos:R:3 comment="Ca5Ti8S16 | Alexandria | GGA-PBE | relaxed" magnetic_moment_mub_per_cell=6.93 final_energy_ev_per_atom=-6.369 crystal_system=monoclinic spacegroup="No. 12" pbc="T T T"
Ca 0.000 0.000 0.000
Ca -4.568 2.153 4.328
Ca -0.263 3.425 8.517
Ca 2.307 2.295 1.432
Ca 1.998 -1.024 2.757
Ti 1.967 2.304 6.230
Ti -4.561 5.388 7.843
Ti -6.670 3.284 6.671
Ti 4.036 1.461 9.191
Ti 6.144 3.565 10.362
Ti 4.328 4.599 7.938
Ti -4.854 2.251 9.095
Ti -2.493 4.545 10.804
S -0.438 2.368 5.828
S 4.432 2.324 6.856
S 2.473 3.298 4.007
S -4.250 3.164 6.933
S -4.957 4.525 10.178
S -0.087 4.482 11.205
S 2.166 -0.005 5.325
S -0.626 5.808 14.402
S 1.584 1.309 8.512
S -2.691 6.854 11.708
S 0.100 1.041 2.631
S 1.893 4.634 7.184
S -2.109 5.541 8.522
S -2.419 2.215 9.849
S 3.724 3.686 10.101
S -2.999 3.551 13.027

No. 4
8
Lattice="6.909 0.000 -0.004 -0.002 6.910 -0.003 -3.451 -3.452 5.371" Properties=species:S:1:pos:R:3 comment="CaTiTl2S4 | Alexandria | GGA-PBE | relaxed" magnetic_moment_mub_per_cell=0.00 final_energy_ev_per_atom=-4.949 crystal_system=tetragonal spacegroup="No. 82" pbc="T T T"
S -2.258 -1.948 3.763
S 1.950 4.650 1.300
S 2.261 1.951 3.758
S 4.960 2.261 1.301
Ti 3.455 3.456 2.529
Tl 0.002 3.458 5.214
Tl 0.002 0.001 2.531
Ca 3.458 0.003 5.214

No. 5
12
Lattice="6.937 -0.010 -0.020 -3.475 6.004 -0.020 -1.175 -2.034 7.032" Properties=species:S:1:pos:R:3 comment="Ca2TiTl3S6 | Alexandria | GGA-PBE | relaxed" magnetic_moment_mub_per_cell=0.00 final_energy_ev_per_atom=-4.765 crystal_system=monoclinic spacegroup="No. 12" pbc="T T T"
S 2.435 4.216 1.429
S 0.249 3.954 5.609
S -1.013 1.768 1.384
S 3.301 2.192 5.609
S -0.148 -0.256 5.563
S 2.038 0.006 1.384
Ca 3.448 2.005 -0.020
Ca 0.014 3.989 -0.020
Tl -2.303 3.970 3.496
Tl 1.144 1.980 3.496
Tl 4.590 -0.010 3.496
Ti 0.000 0.000 0.000

No. 6
5
Lattice="-4.652 1.473 -2.017 -0.254 -3.810 -2.197 -2.479 -2.204 4.108" Properties=species:S:1:pos:R:3 comment="Ca2TiVS | Alexandria | GGA-PBE | relaxed" magnetic_moment_mub_per_cell=0.01 final_energy_ev_per_atom=-4.879 crystal_system=tetragonal spacegroup="No. 123" pbc="T T T"
V -0.127 -1.905 -1.099
Ca -1.239 -1.102 2.054
Ca -2.326 0.736 -1.008
S 0.000 0.000 0.000
Ti -3.692 -2.270 -0.053

Which formula does entry 4 have? CaTiTl2S4